[1]
The following is a PBE calculation of a geometry-optimized KZrAu structure, from the Alexandria database. Values from VASP.

Quantum ESPRESSO input file:
```
&SYSTEM
  ibrav = 0, nat = 12, ntyp = 3
/
ATOMIC_SPECIES
K 39.10 K.upf
Zr 91.22 Zr.upf
Au 196.97 Au.upf
ATOMIC_POSITIONS crystal
K 0.0000 0.0000 0.0000
K 0.0000 0.5000 0.5000
K 0.5000 0.0000 0.5000
K 0.5000 0.5000 0.0000
Zr 0.0000 0.0000 0.5000
Zr 0.0000 0.5000 0.0000
Zr 0.5000 0.0000 0.0000
Zr 0.5000 0.5000 0.5000
Au 0.2500 0.2500 0.7500
Au 0.2500 0.7500 0.2500
Au 0.7500 0.2500 0.2500
Au 0.7500 0.7500 0.7500
CELL_PARAMETERS angstrom
7.0212 0.0000 0.0000
0.0000 7.0212 0.0000
0.0000 0.0000 7.0212
```

Summary:
Calculated formation energy = 60.5 kJ per mole of atoms
Final energy = -44.172 eV/cell
Space group = No. 216
Crystal system = cubic
Total moment = 0.002 μB per cell
Energy above the most stable polymorph in this dataset = 549.2 meV/atom

[2]
The following is a PBE calculation of a geometry-optimized Cs3Th3HgTe8 structure, from the Alexandria database. Values from VASP.

Quantum ESPRESSO input file:
```
&SYSTEM
  ibrav = 0, nat = 15, ntyp = 4
/
ATOMIC_SPECIES
Cs 132.91 Cs.upf
Th 232.04 Th.upf
Hg 200.59 Hg.upf
Te 127.60 Te.upf
ATOMIC_POSITIONS crystal
Cs 0.0000 0.0000 0.0000
Cs 0.0000 0.5000 0.0000
Cs 0.5000 0.0000 0.0000
Th 0.0000 0.5000 0.5000
Th 0.5000 0.0000 0.5000
Th 0.5000 0.5000 0.5000
Hg 0.0000 0.0000 0.5000
Te 0.2384 0.2384 0.6890
Te 0.2391 0.7117 0.6895
Te 0.2674 0.2674 0.3026
Te 0.2883 0.7609 0.3105
Te 0.7117 0.2391 0.6895
Te 0.7326 0.7326 0.6974
Te 0.7609 0.2883 0.3105
Te 0.7616 0.7616 0.3110
CELL_PARAMETERS angstrom
8.0729 -4.6648 0.0000
8.0729 4.6648 0.0000
-5.3891 0.0000 8.9385
```

Summary:
Formation energy (no corrections) = -1.06 eV per atom
Final energy = -66.116 eV/cell
Space group = No. 12
Crystal system = monoclinic
Total moment = 0.000 μB per cell

[3]
The following is a PBE calculation of a geometry-optimized PmSCl structure, from the Alexandria database. Values from VASP.

Quantum ESPRESSO input file:
```
&SYSTEM
  ibrav = 0, nat = 6, ntyp = 3
/
ATOMIC_SPECIES
Pm 145.00 Pm.upf
S 32.06 S.upf
Cl 35.45 Cl.upf
ATOMIC_POSITIONS crystal
Pm 0.0000 0.0000 0.0000
Pm 0.5000 0.5000 0.5000
S 0.0000 0.0000 0.3842
S 0.5000 0.5000 0.8842
Cl 0.0000 0.0000 0.6832
Cl 0.5000 0.5000 0.1832
CELL_PARAMETERS angstrom
3.6962 0.0000 0.0000
0.0000 3.6962 0.0000
0.0000 0.0000 10.0008
```

Summary:
Formation energy (no corrections) = -1.80 eV per atom
Final energy = -32.241 eV/cell
Space group = No. 107
Crystal system = tetragonal
Total moment = 0.000 μB per cell
Energy above the most stable polymorph in this dataset = 378.6 meV/atom